(1)
This record from Alexandria describes a geometry-optimized Sc2RhSBr structure. The functional is PBE-GGA.

ρ in kg/m³: 4490
Formation energy from raw total energies in eV per atom: 0.0497
Volume in Å³/cell: 112.7

a = 5.014 Å, b = 4.483 Å, c = 5.014 Å
α = 90.00°, β = 90.00°, γ = 90.00°
Positions (direct):
Sc: 0.500 0.000 0.000
Sc: 0.000 0.000 0.500
Br: 0.000 0.000 0.000
Rh: 0.000 0.500 0.000
S: 0.500 0.500 0.500

(2)
This record from Alexandria describes a geometry-optimized RhSeSBr2 structure. The functional is PBE-GGA.

ρ in kg/m³: 4932
Formation energy from raw total energies in eV per atom: 0.5521
Volume in Å³/cell: 125.8
ΔE to the lowest computed polymorph in meV/atom: 0

a = 5.145 Å, b = 5.145 Å, c = 4.754 Å
α = 90.00°, β = 90.00°, γ = 90.00°
Site moments in Bohr magnetons follow the coordinates.
Positions (direct):
S: 0.500 0.500 0.500  0.96
Br: 0.000 0.500 0.000  0.13
Br: 0.500 0.000 0.000  0.13
Se: 0.000 0.000 0.500  -0.08
Rh: 0.000 0.000 0.000  -0.09

(3)
This record from Alexandria describes a geometry-optimized RhSeSBr2 structure. The functional is PBE-GGA.

ρ in kg/m³: 4950
Formation energy from raw total energies in eV per atom: 0.9417
Volume in Å³/cell: 125.4
ΔE to the lowest computed polymorph in meV/atom: 390

a = 4.938 Å, b = 4.938 Å, c = 5.141 Å
α = 90.00°, β = 90.00°, γ = 90.00°
Site moments in Bohr magnetons follow the coordinates.
Positions (direct):
Rh: 0.500 0.500 0.500  1.69
Se: 0.000 0.000 0.500  0.16
S: 0.000 0.000 0.000  -0.02
Br: 0.000 0.500 0.000  0.03
Br: 0.500 0.000 0.000  0.03

(4)
This record from Alexandria describes a geometry-optimized Sm4RhS2Br structure. The functional is PBE-GGA.

ρ in kg/m³: 7197
Formation energy from raw total energies in eV per atom: -1.4408
Volume in Å³/cell: 195.7

a = 3.967 Å, b = 7.200 Å, c = 7.213 Å
α = 71.81°, β = 90.00°, γ = 90.00°
Positions (direct):
Rh: 0.000 0.500 0.500
S: 0.500 0.000 0.500
S: 0.000 0.000 0.000
Sm: 0.000 0.226 0.275
Sm: 0.500 0.749 0.269
Sm: 0.000 0.774 0.725
Sm: 0.500 0.251 0.731
Br: 0.500 0.500 0.000

(5)
This record from Alexandria describes a geometry-optimized TaRhSBr2 structure. The functional is PBE-GGA.

ρ in kg/m³: 6403
Formation energy from raw total energies in eV per atom: 0.6949
Volume in Å³/cell: 123.4

a = 4.927 Å, b = 5.081 Å, c = 4.927 Å
α = 90.00°, β = 90.00°, γ = 90.00°
Positions (direct):
Ta: 0.000 0.000 0.000
Rh: 0.000 0.500 0.000
Br: 0.500 0.000 0.000
Br: 0.000 0.000 0.500
S: 0.500 0.500 0.500

(6)
This record from Alexandria describes a geometry-optimized SbRhBr3 structure. The functional is PBE-GGA.

ρ in kg/m³: 5979
Formation energy from raw total energies in eV per atom: 0.1642
Volume in Å³/cell: 129.0
ΔE to the lowest computed polymorph in meV/atom: 0

a = 5.052 Å, b = 5.052 Å, c = 5.052 Å
α = 90.00°, β = 90.00°, γ = 90.00°
Positions (direct):
Sb: 0.500 0.500 0.500
Rh: 0.000 0.000 0.000
Br: 0.000 0.000 0.500
Br: 0.500 0.000 0.000
Br: 0.000 0.500 0.000

(7)
This record from Alexandria describes a geometry-optimized SbRh3Br structure. The functional is PBE-GGA.

ρ in kg/m³: 8412
Formation energy from raw total energies in eV per atom: 0.8264
Volume in Å³/cell: 100.7
ΔE to the lowest computed polymorph in meV/atom: 0

a = 4.653 Å, b = 4.653 Å, c = 4.653 Å
α = 90.00°, β = 90.00°, γ = 90.00°
Positions (direct):
Rh: 0.000 0.500 0.000
Rh: 0.000 0.000 0.500
Rh: 0.500 0.000 0.000
Br: 0.000 0.000 0.000
Sb: 0.500 0.500 0.500

(8)
This record from Alexandria describes a geometry-optimized SbRh3Br structure. The functional is PBE-GGA.

ρ in kg/m³: 7100
Formation energy from raw total energies in eV per atom: 0.9714
Volume in Å³/cell: 119.4
ΔE to the lowest computed polymorph in meV/atom: 145

a = 4.924 Å, b = 4.924 Å, c = 4.924 Å
α = 90.00°, β = 90.00°, γ = 90.00°
Site moments in Bohr magnetons follow the coordinates.
Positions (direct):
Br: 0.500 0.500 0.500  0.09
Rh: 0.500 0.000 0.000  0.33
Rh: 0.000 0.000 0.500  0.46
Rh: 0.000 0.500 0.000  0.53
Sb: 0.000 0.000 0.000  -0.03

(9)
This record from Alexandria describes a geometry-optimized SbRhBr4 structure. The functional is PBE-GGA.

ρ in kg/m³: 5655
Formation energy from raw total energies in eV per atom: 1.0829
Volume in Å³/cell: 159.8

a = 6.092 Å, b = 6.092 Å, c = 6.092 Å
α = 60.00°, β = 60.00°, γ = 60.00°
Site moments in Bohr magnetons follow the coordinates.
Positions (direct):
Br: 0.376 0.376 0.376  0.01
Br: 0.376 0.376 0.872  0.01
Br: 0.872 0.376 0.376  0.01
Br: 0.376 0.872 0.376  0.01
Sb: 0.000 0.000 0.000  -0.09
Rh: 0.750 0.750 0.750  1.21

(10)
This record from Alexandria describes a geometry-optimized SbRhSeBr2 structure. The functional is PBE-GGA.

ρ in kg/m³: 6202
Formation energy from raw total energies in eV per atom: 0.1782
Volume in Å³/cell: 124.1
ΔE to the lowest computed polymorph in meV/atom: 0

a = 4.972 Å, b = 4.972 Å, c = 5.018 Å
α = 90.00°, β = 90.00°, γ = 90.00°
Positions (direct):
Rh: 0.000 0.000 0.000
Sb: 0.500 0.500 0.500
Br: 0.500 0.000 0.000
Br: 0.000 0.500 0.000
Se: 0.000 0.000 0.500

(11)
This record from Alexandria describes a geometry-optimized VSbRh2Br structure. The functional is PBE-GGA.

ρ in kg/m³: 7477
Formation energy from raw total energies in eV per atom: 0.5925
Volume in Å³/cell: 101.8

a = 4.691 Å, b = 4.627 Å, c = 4.691 Å
α = 90.00°, β = 90.00°, γ = 90.00°
Positions (direct):
V: 0.000 0.000 0.000
Rh: 0.000 0.000 0.500
Rh: 0.500 0.000 0.000
Sb: 0.500 0.500 0.500
Br: 0.000 0.500 0.000

(12)
This record from Alexandria describes a geometry-optimized Zr2SbRhBr structure. The functional is PBE-GGA.

ρ in kg/m³: 6359
Formation energy from raw total energies in eV per atom: 0.9014
Volume in Å³/cell: 127.2

a = 4.873 Å, b = 5.356 Å, c = 4.873 Å
α = 90.00°, β = 90.00°, γ = 90.00°
Positions (direct):
Br: 0.000 0.000 0.000
Rh: 0.500 0.500 0.500
Zr: 0.500 0.000 0.000
Zr: 0.000 0.000 0.500
Sb: 0.000 0.500 0.000

(13)
This record from Alexandria describes a geometry-optimized ScRhBr3 structure. The functional is PBE-GGA.

ρ in kg/m³: 4418
Formation energy from raw total energies in eV per atom: -0.2640
Volume in Å³/cell: 145.7
ΔE to the lowest computed polymorph in meV/atom: 0

a = 5.262 Å, b = 5.262 Å, c = 5.262 Å
α = 90.00°, β = 90.00°, γ = 90.00°
Site moments in Bohr magnetons follow the coordinates.
Positions (direct):
Sc: 0.000 0.000 0.000  -0.26
Rh: 0.500 0.500 0.500  1.22
Br: 0.000 0.500 0.000  0.02
Br: 0.500 0.000 0.000  0.02
Br: 0.000 0.000 0.500  0.01

(14)
This record from Alexandria describes a geometry-optimized ScRh2Br structure. The functional is PBE-GGA.

ρ in kg/m³: 7626
Formation energy from raw total energies in eV per atom: -0.1188
Volume in Å³/cell: 144.0
ΔE to the lowest computed polymorph in meV/atom: 271

a = 3.926 Å, b = 3.926 Å, c = 9.747 Å
α = 78.38°, β = 78.38°, γ = 90.00°
Positions (direct):
Sc: 0.500 0.500 0.000
Sc: 0.250 0.750 0.500
Br: 0.750 0.250 0.500
Br: 0.000 0.000 0.000
Rh: 0.140 0.625 0.250
Rh: 0.375 0.390 0.750
Rh: 0.610 0.125 0.250
Rh: 0.875 0.860 0.750

(15)
This record from Alexandria describes a geometry-optimized ScRh2Br structure. The functional is PBE-GGA.

ρ in kg/m³: 7969
Formation energy from raw total energies in eV per atom: -0.0304
Volume in Å³/cell: 68.9
ΔE to the lowest computed polymorph in meV/atom: 359

a = 4.602 Å, b = 4.602 Å, c = 4.602 Å
α = 60.00°, β = 60.00°, γ = 60.00°
Positions (direct):
Rh: 0.000 0.000 0.000
Rh: 0.250 0.250 0.250
Sc: 0.750 0.750 0.750
Br: 0.500 0.500 0.500

(16)
This record from Alexandria describes a geometry-optimized ScRhBr2 structure. The functional is PBE-GGA.

ρ in kg/m³: 5194
Formation energy from raw total energies in eV per atom: -0.6481
Volume in Å³/cell: 98.4
ΔE to the lowest computed polymorph in meV/atom: 257

a = 9.446 Å, b = 9.446 Å, c = 9.446 Å
α = 21.41°, β = 21.41°, γ = 21.41°
Positions (direct):
Rh: 0.491 0.491 0.491
Br: 0.026 0.026 0.026
Br: 0.223 0.223 0.223
Sc: 0.760 0.760 0.760

(17)
This record from Alexandria describes a geometry-optimized Sc3RhBr structure. The functional is PBE-GGA.

ρ in kg/m³: 4596
Formation energy from raw total energies in eV per atom: 0.1218
Volume in Å³/cell: 114.8
ΔE to the lowest computed polymorph in meV/atom: 460

a = 4.860 Å, b = 4.860 Å, c = 4.860 Å
α = 90.00°, β = 90.00°, γ = 90.00°
Positions (direct):
Br: 0.000 0.000 0.000
Rh: 0.500 0.500 0.500
Sc: 0.000 0.000 0.500
Sc: 0.000 0.500 0.000
Sc: 0.500 0.000 0.000

(18)
This record from Alexandria describes a geometry-optimized ScRhBr2 structure. The functional is PBE-GGA.

ρ in kg/m³: 6503
Formation energy from raw total energies in eV per atom: -0.3143
Volume in Å³/cell: 78.6
ΔE to the lowest computed polymorph in meV/atom: 590

a = 5.893 Å, b = 5.893 Å, c = 5.893 Å
α = 141.55°, β = 141.55°, γ = 55.51°
Positions (direct):
Sc: 0.750 0.250 0.500
Br: 0.250 0.750 0.500
Br: 0.000 0.000 0.000
Rh: 0.500 0.500 0.000

(19)
This record from Alexandria describes a geometry-optimized ScRhBr2 structure. The functional is PBE-GGA.

ρ in kg/m³: 4655
Formation energy from raw total energies in eV per atom: -0.8572
Volume in Å³/cell: 109.8
ΔE to the lowest computed polymorph in meV/atom: 48

a = 4.233 Å, b = 4.233 Å, c = 7.120 Å
α = 87.89°, β = 87.89°, γ = 59.42°
Positions (direct):
Sc: 0.725 0.725 0.587
Rh: 0.401 0.401 0.695
Br: 0.327 0.327 0.347
Br: 0.047 0.047 0.872

(20)
This record from Alexandria describes a geometry-optimized Sc3RhBr structure. The functional is PBE-GGA.

ρ in kg/m³: 4026
Formation energy from raw total energies in eV per atom: -0.3380
Volume in Å³/cell: 131.0
ΔE to the lowest computed polymorph in meV/atom: 0

a = 5.079 Å, b = 5.079 Å, c = 5.079 Å
α = 90.00°, β = 90.00°, γ = 90.00°
Positions (direct):
Br: 0.500 0.500 0.500
Sc: 0.000 0.500 0.000
Sc: 0.000 0.000 0.500
Sc: 0.500 0.000 0.000
Rh: 0.000 0.000 0.000